Entry 1:
NdDyYSc | PBE-GGA | relaxed

abc: 5.591 5.591 5.591
angles: 60.00 60.00 60.00
Element x y z (fractional)
Nd 0.000 0.000 0.000
Sc 0.750 0.750 0.750
Dy 0.500 0.500 0.500
Y 0.250 0.250 0.250

Fermi-level density of states	6.4	states/eV/f.u.
energy of formation	0.114	eV per atom
space group	No. 216
VASP energy	-5.4278	eV/atom



Entry 2:
NdDyY2Sc | PBE-GGA | relaxed

abc: 7.138 8.233 6.979
angles: 126.14 90.00 90.00
Element x y z (fractional)
Y 0.000 0.698 0.000
Dy 0.750 0.735 0.469
Y 0.500 0.698 0.000
Sc 0.750 0.005 0.010
Y 0.000 0.302 0.000
Y 0.500 0.302 0.000
Dy 0.250 0.265 0.531
Nd 0.750 0.268 0.536
Nd 0.250 0.732 0.464
Sc 0.250 0.995 0.990

Fermi-level density of states	6.3	states/eV/f.u.
energy of formation	0.331	eV per atom
space group	No. 63
VASP energy	-5.3953	eV/atom



Entry 3:
NdDyY2Sc4 | PBE-GGA | relaxed

abc: 9.116 9.116 11.341
angles: 128.47 128.47 88.15
Each line ends with the local moment (μB).
Element x y z (fractional)
Sc 0.248 0.250 0.002  0.37
Sc 0.750 0.252 0.501  0.37
Sc 0.752 0.750 0.998  0.37
Dy 0.500 0.500 0.500  0.32
Y 0.000 0.000 0.500  0.28
Sc 0.250 0.748 0.499  0.37
Sc 0.750 0.748 0.502  0.37
Sc 0.248 0.750 0.999  0.37
Dy 0.000 0.000 0.000  0.32
Y 0.500 0.000 0.000  0.21
Sc 0.250 0.252 0.498  0.37
Nd 0.000 0.500 0.000  0.28
Sc 0.752 0.250 0.001  0.37
Y 0.500 0.500 0.000  0.28
Nd 0.000 0.500 0.500  0.28
Y 0.500 0.000 0.500  0.21

Fermi-level density of states	16.6	states/eV/f.u.
energy of formation	0.434	eV per atom
space group	No. 15
VASP energy	-5.5194	eV/atom



Entry 4:
Nd6Dy3Y2Sc | PBE-GGA | relaxed

abc: 6.247 6.247 11.780
angles: 95.06 95.06 120.00
Element x y z (fractional)
Dy 0.500 0.500 0.500
Y 0.667 0.333 0.000
Dy 0.167 0.833 0.500
Nd 0.412 0.082 0.248
Nd 0.752 0.752 0.248
Nd 0.588 0.918 0.752
Dy 0.833 0.167 0.500
Sc 0.000 0.000 0.000
Nd 0.082 0.412 0.248
Y 0.333 0.667 0.000
Nd 0.918 0.588 0.752
Nd 0.248 0.248 0.752

Fermi-level density of states	13.5	states/eV/f.u.
energy of formation	0.022	eV per atom
space group	No. 12
VASP energy	-5.1173	eV/atom



Entry 5:
Nd2DyY2Sc | PBE-GGA | relaxed

abc: 5.615 6.800 9.965
angles: 90.00 90.00 90.00
Element x y z (fractional)
Sc 0.000 0.479 0.515
Y 0.500 0.224 0.368
Y 0.500 0.724 0.632
Nd 0.500 0.037 0.019
Dy 0.500 0.218 0.683
Sc 0.000 0.979 0.485
Dy 0.500 0.718 0.317
Nd 0.000 0.298 0.200
Y 0.000 0.790 0.144
Y 0.000 0.290 0.856
Nd 0.000 0.798 0.800
Nd 0.500 0.537 0.981

Fermi-level density of states	9.1	states/eV/f.u.
energy of formation	0.110	eV per atom
space group	No. 26
VASP energy	-5.4566	eV/atom



Entry 6:
Nd5Dy2YSc | PBE-GGA | relaxed

abc: 5.388 11.301 10.240
angles: 90.00 90.00 103.79
Element x y z (fractional)
Dy 0.884 0.768 0.260
Y 0.602 0.204 0.008
Sc 0.786 0.573 0.508
Dy 0.884 0.769 0.756
Nd 0.500 0.000 0.258
Nd 0.373 0.747 0.008
Nd 0.627 0.253 0.508
Nd 0.001 0.002 0.508
Nd 0.999 0.998 0.008
Y 0.398 0.796 0.508
Sc 0.214 0.427 0.008
Nd 0.278 0.557 0.696
Dy 0.116 0.232 0.760
Nd 0.722 0.444 0.820
Dy 0.116 0.231 0.256
Nd 0.278 0.556 0.320
Nd 0.500 0.000 0.758
Nd 0.722 0.443 0.196

Fermi-level density of states	13.2	states/eV/f.u.
energy of formation	0.126	eV per atom
space group	No. 63
VASP energy	-4.9673	eV/atom



Entry 7:
Nd2DyY6Sc | PBE-GGA | relaxed

abc: 9.703 8.698 8.698
angles: 117.12 95.07 95.07
Element x y z (fractional)
Nd 0.453 0.803 0.706
Y 0.943 0.876 0.255
Y 0.385 0.505 0.298
Nd 0.953 0.706 0.803
Sc 0.750 0.591 0.409
Nd 0.047 0.294 0.197
Y 0.310 0.991 0.428
Y 0.057 0.124 0.745
Nd 0.547 0.197 0.294
Y 0.810 0.428 0.991
Y 0.557 0.745 0.124
Dy 0.750 0.017 0.983
Y 0.615 0.495 0.702
Y 0.885 0.298 0.505
Y 0.115 0.702 0.495
Sc 0.250 0.409 0.591
Dy 0.250 0.983 0.017
Y 0.190 0.572 0.009
Y 0.690 0.009 0.572
Y 0.443 0.255 0.876

Fermi-level density of states	13.9	states/eV/f.u.
energy of formation	0.119	eV per atom
space group	No. 15
VASP energy	-5.8065	eV/atom



Entry 8:
NdDy2YSc | PBE-GGA | relaxed

abc: 7.090 8.179 6.982
angles: 125.86 90.00 90.00
Element x y z (fractional)
Nd 0.750 0.276 0.552
Sc 0.250 0.986 0.972
Nd 0.250 0.724 0.448
Y 0.250 0.259 0.518
Dy 0.000 0.302 0.000
Dy 0.500 0.302 0.000
Dy 0.000 0.698 0.000
Dy 0.500 0.698 0.000
Y 0.750 0.741 0.482
Sc 0.750 0.014 0.028

Fermi-level density of states	6.2	states/eV/f.u.
energy of formation	0.326	eV per atom
space group	No. 63
VASP energy	-5.0277	eV/atom



What is the formula in the first record? NdDyYSc